The following is a PBE calculation of an optimized crystal structure of AcLa12Pm7, from Alexandria.

a = 10.2417 Å, b = 10.2417 Å, c = 10.2417 Å
α = 109.47°, β = 109.47°, γ = 109.47°
Last column: nearest neighbours and their distance in Å.
Atoms (fractional coordinates):
Ac  0.0000  0.0000  0.0000  12 La 4.26
La  0.4906  0.7458  0.7448  2 Pm 2.96
La  0.0009  0.7458  0.2552  2 Pm 2.96
La  0.5094  0.2542  0.2552  2 Pm 2.96
La  0.9991  0.2542  0.7448  2 Pm 2.96
La  0.7448  0.9991  0.2542  2 Pm 2.96
La  0.7448  0.4906  0.7458  2 Pm 2.96
La  0.2552  0.0009  0.7458  2 Pm 2.96
La  0.2552  0.5094  0.2542  2 Pm 2.96
La  0.7458  0.7448  0.4906  2 Pm 2.96
La  0.2542  0.2552  0.5094  2 Pm 2.96
La  0.7458  0.2552  0.0009  2 Pm 2.96
La  0.2542  0.7448  0.9991  2 Pm 2.96
Pm  0.5000  0.5000  0.0000  12 La 4.10-4.19
Pm  0.0000  0.5000  0.5000  12 La 4.10-4.19
Pm  0.5000  0.0000  0.5000  12 La 4.10-4.19
Pm  0.5000  0.5000  0.5000  6 La 2.96
Pm  0.0000  0.0000  0.5000  6 La 2.96
Pm  0.5000  0.0000  0.0000  6 La 2.96
Pm  0.0000  0.5000  0.0000  6 La 2.96

Calculated values
D(E_F): 1.616 states/eV per atom
Space-group type: Im-3
Calculated formation energy: 516 meV/atom
Offset from the most stable computed form: 345 meV/atom